# 1
8
Lattice="0.0000 3.8484 3.8484 3.8484 0.0000 3.8484 3.8484 3.8484 0.0000" Properties=species:S:1:pos:R:3 comment="Zn7Si meta-GGA SCAN PBEsol geometry" vol_a3_per_cell=114.0 rho_g_cm3=7.08 formation_energy_uncorrected_mev_per_atom=128 pbc="T T T"
Zn 0.0000 0.0000 0.0000
Zn 1.9242 1.9242 0.0000
Zn 1.9242 0.0000 1.9242
Zn 3.8484 1.9242 1.9242
Zn 0.0000 1.9242 1.9242
Zn 1.9242 3.8484 1.9242
Zn 1.9242 1.9242 3.8484
Si 3.8484 3.8484 3.8484

***

# 2
28
Lattice="6.9668 0.0000 0.0000 0.0000 4.3163 0.0000 -5.9095 0.0000 7.1020" Properties=species:S:1:pos:R:3 comment="AlSiHO4 meta-GGA SCAN PBEsol geometry" vol_a3_per_cell=213.6 rho_g_cm3=3.73 total_energy_ry_per_atom=-0.6829 pbc="T T T"
Al -1.5867 0.1012 3.1024
Al -4.5415 2.0570 6.6534
Al 5.5987 2.2593 0.4486
Al 2.6440 4.2151 3.9996
Si -2.0410 0.0644 5.8117
Si 0.9138 2.0937 2.2608
Si 0.1435 2.2225 4.8412
Si 3.0982 4.2519 1.2902
H -3.0823 2.2627 4.8761
H -0.1275 4.2117 1.3251
H 1.1848 0.1045 5.7769
H 4.1395 2.0536 2.2259
O -2.7428 0.8748 4.4246
O 0.2119 1.2833 0.8736
O -3.5323 3.0608 5.3951
O -0.5775 3.4136 1.8441
O -3.1935 0.8248 6.9429
O -0.2387 1.3333 3.3920
O 1.8409 3.0448 1.0886
O -1.1139 3.4296 4.6396
O 2.1712 0.8866 2.4624
O -0.7836 1.2715 6.0134
O 1.2960 2.9829 3.7100
O 4.2507 3.4915 0.1590
O 1.6348 0.9027 5.2578
O 4.5896 1.2555 1.7069
O 0.8453 3.0330 6.2283
O 3.8001 3.4414 2.6774

***

# 3
52
Lattice="0.0000 7.0179 7.0179 7.0179 0.0000 7.0179 7.0179 7.0179 0.0000" Properties=species:S:1:pos:R:3 comment="Na3MgC2ClO6 meta-GGA SCAN PBEsol geometry" vol_a3_per_cell=691.3 relative_energy_ev_per_atom=0.0000 rho_g_cm3=2.39 formation_energy_uncorrected_mev_per_atom=-2060 pbc="T T T"
Na 5.2634 5.2634 1.4229
Na 5.2634 1.4229 5.2634
Na 9.1040 5.2634 5.2634
Na 8.7724 8.7724 4.9319
Na 8.7724 4.9319 8.7724
Na 12.6129 8.7724 8.7724
Na 1.4229 5.2634 5.2634
Na 5.2634 9.1040 5.2634
Na 5.2634 5.2634 9.1040
Na 4.9319 8.7724 8.7724
Na 8.7724 12.6129 8.7724
Na 8.7724 8.7724 12.6129
Mg 7.0179 3.5090 3.5090
Mg 3.5090 7.0179 3.5090
Mg 3.5090 3.5090 7.0179
Mg 7.0179 7.0179 7.0179
C 3.9736 3.9736 3.9736
C 6.5533 6.5533 3.9736
C 6.5533 3.9736 6.5533
C 10.0623 7.4825 7.4825
C 3.9736 6.5533 6.5533
C 7.4825 10.0623 7.4825
C 7.4825 7.4825 10.0623
C 10.0623 10.0623 10.0623
Cl 0.0000 0.0000 0.0000
Cl 3.5090 3.5090 0.0000
Cl 3.5090 0.0000 3.5090
Cl 0.0000 3.5090 3.5090
O 4.9797 3.7093 3.2053
O 7.3216 5.5472 3.7093
O 6.8176 3.2053 5.5472
O 5.5472 6.8176 3.2053
O 3.7093 3.2053 4.9797
O 7.3216 4.9797 6.8176
O 9.0562 7.2183 6.7142
O 10.8306 8.4887 7.2183
O 10.3265 6.7142 8.4887
O 3.2053 4.9797 3.7093
O 6.8176 7.3216 4.9797
O 5.5472 3.7093 7.3216
O 8.4887 10.3265 6.7142
O 7.2183 6.7142 9.0562
O 10.8306 9.0562 10.3265
O 3.7093 7.3216 5.5472
O 3.2053 5.5472 6.8176
O 4.9797 6.8176 7.3216
O 6.7142 9.0562 7.2183
O 10.3265 10.8306 9.0562
O 8.4887 7.2183 10.8306
O 7.2183 10.8306 8.4887
O 6.7142 8.4887 10.3265
O 9.0562 10.3265 10.8306

***

# 4
3
Lattice="3.7659 0.0000 0.0000 -1.8830 3.2614 0.0000 0.0000 0.0000 4.0270" Properties=species:S:1:pos:R:3 comment="ZnCuSe meta-GGA SCAN PBEsol geometry" vol_a3_per_cell=49.5 relative_energy_ev_per_atom=0.0000 rho_g_cm3=6.98 formation_energy_uncorrected_mev_per_atom=39 pbc="T T T"
Zn 0.0000 0.0000 0.0000
Cu 1.8830 1.0871 2.6890
Se 0.0000 2.1743 1.5408

***

# 5
4
Lattice="-1.7322 1.7322 3.5223 1.7322 -1.7322 3.5223 1.7322 1.7322 -3.5223" Properties=species:S:1:pos:R:3 comment="CoCuNi2 meta-GGA SCAN PBEsol geometry" formation_energy_ev_per_atom=0.090 vol_a3_per_cell=42.3 rho_g_cm3=9.42 pbc="T T T"
Co 0.0000 0.0000 0.0000
Cu 0.0000 1.7322 1.7612
Ni 1.7322 0.0000 1.7612
Ni 0.0000 0.0000 3.5223

***

# 6
5
Lattice="5.4327 0.0000 0.0000 0.0000 5.4327 0.0000 0.0000 0.0000 5.4327" Properties=species:S:1:pos:R:3 comment="TcWI3 meta-GGA SCAN PBEsol geometry" vol_a3_per_cell=160.3 relative_energy_ev_per_atom=0.0000 rho_g_cm3=6.86 formation_energy_uncorrected_mev_per_atom=1455 pbc="T T T"
Tc 0.0000 0.0000 0.0000
W 2.7163 2.7163 2.7163
I 0.0000 2.7163 2.7163
I 2.7163 0.0000 2.7163
I 2.7163 2.7163 0.0000

***

# 7
5
Lattice="6.0577 0.0000 0.0000 0.0000 6.0577 0.0000 0.0000 0.0000 6.0577" Properties=species:S:1:pos:R:3 comment="Ba3ScS meta-GGA SCAN PBEsol geometry" vol_a3_per_cell=222.3 rho_g_cm3=3.65 formation_energy_uncorrected_mev_per_atom=-574 pbc="T T T"
Ba 0.0000 0.0000 3.0288
Ba 0.0000 3.0288 0.0000
Ba 3.0288 0.0000 0.0000
Sc 3.0288 3.0288 3.0288
S 0.0000 0.0000 0.0000

***

# 8
4
Lattice="4.8357 0.0000 0.0000 0.0000 4.8357 0.0000 0.0000 0.0000 3.9154" Properties=species:S:1:pos:R:3 comment="ScCdSb2 meta-GGA SCAN PBEsol geometry" vol_a3_per_cell=91.6 rho_g_cm3=7.27 formation_energy_uncorrected_mev_per_atom=-348 pbc="T T T"
Sc 0.0000 0.0000 0.0000
Cd 2.4178 2.4178 0.0000
Sb 0.0000 2.4178 1.9577
Sb 2.4178 0.0000 1.9577